*i*
{"formula": "YCdCuAg", "functional": "GGA-PBE", "state": "optimized geometry", "magnetic_moment_mub_per_cell": 0.0, "space_group": "F-43m", "cell": [[0.0000, 3.4167, 3.4167], [3.4167, 0.0000, 3.4167], [3.4167, 3.4167, 0.0000]], "species": ["Ag", "Cd", "Cu", "Y"], "frac_coords": [[0.2500, 0.2500, 0.2500], [0.0000, 0.0000, 0.0000], [0.5000, 0.5000, 0.5000], [0.7500, 0.7500, 0.7500]]}

---

*ii*
{"formula": "YCdCuAg", "functional": "GGA-PBE", "state": "optimized geometry", "magnetic_moment_mub_per_cell": 0.0, "space_group": "F-43m", "cell": [[0.0000, 3.4151, 3.4151], [3.4151, 0.0000, 3.4151], [3.4151, 3.4151, 0.0000]], "species": ["Ag", "Cd", "Cu", "Y"], "frac_coords": [[0.0000, 0.0000, 0.0000], [0.2500, 0.2500, 0.2500], [0.5000, 0.5000, 0.5000], [0.7500, 0.7500, 0.7500]]}

---

*iii*
{"formula": "YCdCuAg", "functional": "GGA-PBE", "state": "optimized geometry", "magnetic_moment_mub_per_cell": 0.0, "space_group": "F-43m", "cell": [[-2.4510, 1.1572, 4.0155], [-0.9636, 4.6421, 0.9966], [-4.5413, 1.6555, -0.3265]], "species": ["Ag", "Cd", "Cu", "Y"], "frac_coords": [[0.0000, 0.0000, 0.0000], [0.5000, 0.5000, 0.5000], [0.2500, 0.2500, 0.2500], [0.7500, 0.7500, 0.7500]]}

---

Winner for stability: *ii*

---

*i*
{"formula": "LiCdAgHg", "functional": "GGA-PBE", "state": "optimized geometry", "space_group": "F-43m", "cell": [[0.0000, 3.3672, 3.3672], [3.3672, 0.0000, 3.3672], [3.3672, 3.3672, 0.0000]], "species": ["Ag", "Cd", "Hg", "Li"], "frac_coords": [[0.5000, 0.5000, 0.5000], [0.0000, 0.0000, 0.0000], [0.2500, 0.2500, 0.2500], [0.7500, 0.7500, 0.7500]]}

---

*ii*
{"formula": "LiCdAgHg", "functional": "GGA-PBE", "state": "optimized geometry", "space_group": "F-43m", "cell": [[0.0000, 3.3601, 3.3601], [3.3601, 0.0000, 3.3601], [3.3601, 3.3601, 0.0000]], "species": ["Ag", "Cd", "Hg", "Li"], "frac_coords": [[0.2500, 0.2500, 0.2500], [0.5000, 0.5000, 0.5000], [0.0000, 0.0000, 0.0000], [0.7500, 0.7500, 0.7500]]}

---

Winner for stability: *ii*

---

*i*
{"formula": "CdAgSI", "functional": "GGA-PBE", "state": "optimized geometry", "space_group": "P2_12_12_1", "cell": [[-3.1443, -4.3212, -4.7989], [-3.2740, -4.0658, 5.8062], [-7.0099, 5.3388, -0.2143]], "species": ["Ag", "Ag", "Ag", "Ag", "Cd", "Cd", "Cd", "Cd", "I", "I", "I", "I", "S", "S", "S", "S"], "frac_coords": [[0.5879, 0.8228, 0.1521], [0.4121, 0.3228, 0.3479], [0.9121, 0.1772, 0.6521], [0.0879, 0.6772, 0.8479], [0.8421, 0.2475, 0.0877], [0.1579, 0.7475, 0.4123], [0.6579, 0.7525, 0.5877], [0.3421, 0.2525, 0.9123], [0.0069, 0.8738, 0.1241], [0.9931, 0.3738, 0.3759], [0.4931, 0.1262, 0.6241], [0.5069, 0.6262, 0.8759], [0.5207, 0.1422, 0.1309], [0.4793, 0.6422, 0.3691], [0.9793, 0.8578, 0.6309], [0.0207, 0.3578, 0.8691]]}

---

*ii*
{"formula": "CdAgSI", "functional": "GGA-PBE", "state": "optimized geometry", "space_group": "Pmma", "cell": [[-6.9587, 2.5498, 6.7521], [-3.2251, -0.0348, -3.3106], [-1.8168, -9.9214, 1.8742]], "species": ["Ag", "Ag", "Ag", "Ag", "Cd", "Cd", "Cd", "Cd", "I", "I", "I", "I", "S", "S", "S", "S"], "frac_coords": [[0.0719, 0.0000, 0.2908], [0.4281, 0.0000, 0.2908], [0.5719, 0.0000, 0.7092], [0.9281, 0.0000, 0.7092], [0.0000, 0.5000, 0.0000], [0.5000, 0.5000, 0.0000], [0.7500, 0.5000, 0.2901], [0.2500, 0.5000, 0.7099], [0.2500, 0.0000, 0.0168], [0.7500, 0.0000, 0.4880], [0.2500, 0.0000, 0.5120], [0.7500, 0.0000, 0.9832], [0.5087, 0.5000, 0.2393], [0.9913, 0.5000, 0.2393], [0.0087, 0.5000, 0.7607], [0.4913, 0.5000, 0.7607]]}

---

Winner for stability: *i*

---

*i*
{"formula": "KCd2Ag2", "functional": "GGA-PBE", "state": "optimized geometry", "space_group": "I4/mmm", "cell": [[-3.3359, -0.7244, 3.2003], [-2.1593, -2.9517, -2.9189], [6.0074, -2.8561, 2.1948]], "species": ["Ag", "Ag", "Cd", "Cd", "K"], "frac_coords": [[0.6121, 0.6121, 0.2241], [0.3879, 0.3879, 0.7759], [0.7500, 0.2500, 0.5000], [0.2500, 0.7500, 0.5000], [0.0000, 0.0000, 0.0000]]}

---

*ii*
{"formula": "KCd2Ag2", "functional": "GGA-PBE", "state": "optimized geometry", "space_group": "P4/mbm", "cell": [[-3.5611, 1.8718, -7.8485], [7.7716, -1.5104, -3.8864], [-0.7376, -2.8856, -0.3535]], "species": ["Ag", "Ag", "Ag", "Ag", "Cd", "Cd", "Cd", "Cd", "K", "K"], "frac_coords": [[0.3276, 0.1724, 0.5000], [0.8276, 0.3276, 0.5000], [0.1724, 0.6724, 0.5000], [0.6724, 0.8276, 0.5000], [0.6234, 0.1234, 0.0000], [0.1234, 0.3766, 0.0000], [0.8766, 0.6234, 0.0000], [0.3766, 0.8766, 0.0000], [0.0000, 0.0000, 0.0000], [0.5000, 0.5000, 0.0000]]}

---

Winner for stability: *ii*

---

*i*
{"formula": "MgScCdAg", "functional": "GGA-PBE", "state": "optimized geometry", "magnetic_moment_mub_per_cell": 0.0, "space_group": "F-43m", "cell": [[0.0000, 3.4103, 3.4103], [3.4103, 0.0000, 3.4103], [3.4103, 3.4103, 0.0000]], "species": ["Ag", "Cd", "Mg", "Sc"], "frac_coords": [[0.2500, 0.2500, 0.2500], [0.5000, 0.5000, 0.5000], [0.7500, 0.7500, 0.7500], [0.0000, 0.0000, 0.0000]]}

---

*ii*
{"formula": "MgScCdAg", "functional": "GGA-PBE", "state": "optimized geometry", "magnetic_moment_mub_per_cell": 0.0, "space_group": "F-43m", "cell": [[2.5874, -2.8180, -2.9412], [2.9533, -3.3425, 1.8418], [-1.0879, -4.6816, -0.4301]], "species": ["Ag", "Cd", "Mg", "Sc"], "frac_coords": [[0.0000, 0.0000, 0.0000], [0.2500, 0.2500, 0.2500], [0.7500, 0.7500, 0.7500], [0.5000, 0.5000, 0.5000]]}

---

Winner for stability: *i*

---

*i*
{"formula": "SrMgCdAg", "functional": "GGA-PBE", "state": "optimized geometry", "space_group": "C2/m", "cell": [[10.4519, -1.8183, 0.0000], [10.4519, 1.8183, 0.0000], [-1.4417, 0.0000, 6.3050]], "species": ["Ag", "Ag", "Cd", "Cd", "Mg", "Mg", "Sr", "Sr"], "frac_coords": [[0.7669, 0.7669, 0.1748], [0.2331, 0.2331, 0.8252], [0.5487, 0.5487, 0.3745], [0.4513, 0.4513, 0.6255], [0.6899, 0.6899, 0.4930], [0.3101, 0.3101, 0.5070], [0.3916, 0.3916, 0.0704], [0.6084, 0.6084, 0.9296]]}

---

*ii*
{"formula": "SrMgCdAg", "functional": "GGA-PBE", "state": "optimized geometry", "space_group": "Cmm2", "cell": [[2.6572, 9.0647, -6.6311], [-5.4925, -9.0405, 4.6155], [-2.8300, 3.7748, 4.0261]], "species": ["Ag", "Ag", "Cd", "Cd", "Mg", "Mg", "Sr", "Sr"], "frac_coords": [[0.7978, 0.2022, 0.6879], [0.2022, 0.7978, 0.6879], [0.5606, 0.4394, 0.0468], [0.4394, 0.5606, 0.0468], [0.6900, 0.3100, 0.0556], [0.3100, 0.6900, 0.0556], [0.5923, 0.4077, 0.5455], [0.4077, 0.5923, 0.5455]]}

---

Winner for stability: *i*

---

*i*
{"formula": "CdAgPO", "functional": "GGA-PBE", "state": "optimized geometry", "space_group": "Pmc2_1", "cell": [[-1.9368, -2.2089, 1.3988], [5.3752, -4.2550, 0.7233], [1.1024, 2.2583, 5.0926]], "species": ["Ag", "Ag", "Cd", "Cd", "O", "O", "P", "P"], "frac_coords": [[0.0000, 0.7169, 0.0556], [0.0000, 0.2831, 0.5556], [0.5000, 0.1343, 0.0570], [0.5000, 0.8657, 0.5570], [0.0000, 0.9969, 0.2928], [0.0000, 0.0031, 0.7928], [0.5000, 0.5142, 0.3486], [0.5000, 0.4858, 0.8487]]}

---

*ii*
{"formula": "CdAgPO", "functional": "GGA-PBE", "state": "optimized geometry", "space_group": "P4/nmm", "cell": [[-3.5147, 1.7393, -1.9531], [-2.2784, -3.6426, 0.8563], [-2.2190, 2.9427, 6.6138]], "species": ["Ag", "Ag", "Cd", "Cd", "O", "O", "P", "P"], "frac_coords": [[0.0000, 0.0000, 0.5000], [0.5000, 0.5000, 0.5000], [0.0000, 0.5000, 0.0669], [0.5000, 0.0000, 0.9331], [0.0000, 0.0000, 0.0000], [0.5000, 0.5000, 0.0000], [0.5000, 0.0000, 0.3433], [0.0000, 0.5000, 0.6567]]}

---

*iii*
{"formula": "CdAgPO", "functional": "GGA-PBE", "state": "optimized geometry", "space_group": "Pmc2_1", "cell": [[4.4293, 0.0000, 0.0000], [0.0000, 6.7171, 0.0000], [0.0000, 0.0000, 4.4979]], "species": ["Ag", "Ag", "Cd", "Cd", "O", "O", "P", "P"], "frac_coords": [[0.0000, 0.3477, 0.4394], [0.0000, 0.6523, 0.9394], [0.5000, 0.7154, 0.4386], [0.5000, 0.2846, 0.9386], [0.5000, 0.3642, 0.4379], [0.5000, 0.6358, 0.9379], [0.0000, 0.9339, 0.4381], [0.0000, 0.0661, 0.9381]]}

---

*iv*
{"formula": "CdAgPO", "functional": "GGA-PBE", "state": "optimized geometry", "space_group": "P4/nmm", "cell": [[4.3361, 0.0000, 0.0000], [0.0000, 4.3361, 0.0000], [0.0000, 0.0000, 8.7892]], "species": ["Ag", "Ag", "Cd", "Cd", "O", "O", "P", "P"], "frac_coords": [[0.0000, 0.5000, 0.0534], [0.5000, 0.0000, 0.9466], [0.0000, 0.0000, 0.5000], [0.5000, 0.5000, 0.5000], [0.0000, 0.0000, 0.0000], [0.5000, 0.5000, 0.0000], [0.0000, 0.5000, 0.3335], [0.5000, 0.0000, 0.6665]]}

---

Winner for stability: *i*

---

*i*
{"formula": "CdAgSO", "functional": "GGA-PBE", "state": "optimized geometry", "space_group": "P6_3mc", "cell": [[-3.5550, -0.7490, -0.7444], [1.8048, -1.9538, 2.5845], [-3.4400, 7.9601, 8.4199]], "species": ["Ag", "Ag", "Cd", "Cd", "O", "O", "S", "S"], "frac_coords": [[0.3333, 0.6667, 0.2518], [0.6667, 0.3333, 0.7518], [0.0000, 0.0000, 0.4958], [0.0000, 0.0000, 0.9958], [0.0000, 0.0000, 0.3224], [0.0000, 0.0000, 0.8224], [0.6667, 0.3334, 0.1176], [0.3333, 0.6666, 0.6176]]}

---

*ii*
{"formula": "CdAgSO", "functional": "GGA-PBE", "state": "optimized geometry", "space_group": "Pca2_1", "cell": [[6.0501, 0.0000, 0.0000], [0.0000, 7.8241, 0.0000], [0.0000, 0.0000, 5.9738]], "species": ["Ag", "Ag", "Ag", "Ag", "Cd", "Cd", "Cd", "Cd", "O", "O", "O", "O", "S", "S", "S", "S"], "frac_coords": [[0.2422, 0.0900, 0.3919], [0.7422, 0.9100, 0.3919], [0.2578, 0.0900, 0.8919], [0.7578, 0.9100, 0.8919], [0.8880, 0.3497, 0.0705], [0.3880, 0.6503, 0.0705], [0.6120, 0.3497, 0.5705], [0.1120, 0.6503, 0.5705], [0.9894, 0.0823, 0.1372], [0.4894, 0.9177, 0.1372], [0.5106, 0.0823, 0.6372], [0.0106, 0.9177, 0.6372], [0.4681, 0.3381, 0.1504], [0.9681, 0.6619, 0.1504], [0.0319, 0.3381, 0.6504], [0.5319, 0.6619, 0.6504]]}

---

Winner for stability: *ii*

---

*i*
{"formula": "CdAgSO", "functional": "GGA-PBE", "state": "optimized geometry", "space_group": "P4/nmm", "cell": [[3.6763, 0.0000, 0.0000], [0.0000, 3.6763, 0.0000], [0.0000, 0.0000, 10.5752]], "species": ["Ag", "Ag", "Cd", "Cd", "O", "O", "S", "S"], "frac_coords": [[0.7500, 0.7500, 0.1117], [0.2500, 0.2500, 0.8883], [0.2500, 0.2500, 0.2999], [0.7500, 0.7500, 0.7001], [0.2500, 0.2500, 0.1063], [0.7500, 0.7500, 0.8937], [0.7500, 0.2500, 0.5000], [0.2500, 0.7500, 0.5000]]}

---

*ii*
{"formula": "CdAgSO", "functional": "GGA-PBE", "state": "optimized geometry", "space_group": "Pbca", "cell": [[-5.9117, -2.9989, 1.9088], [5.7524, -7.9567, 5.3151], [-0.0701, 3.9529, 5.9933]], "species": ["Ag", "Ag", "Ag", "Ag", "Ag", "Ag", "Ag", "Ag", "Cd", "Cd", "Cd", "Cd", "Cd", "Cd", "Cd", "Cd", "O", "O", "O", "O", "O", "O", "O", "O", "S", "S", "S", "S", "S", "S", "S", "S"], "frac_coords": [[0.7519, 0.0281, 0.0014], [0.7481, 0.5281, 0.0014], [0.2519, 0.0281, 0.4986], [0.2481, 0.5281, 0.4986], [0.7519, 0.4719, 0.5014], [0.7481, 0.9719, 0.5014], [0.2519, 0.4719, 0.9986], [0.2481, 0.9719, 0.9986], [0.0320, 0.2503, 0.1884], [0.4680, 0.7503, 0.1884], [0.5320, 0.2503, 0.3116], [0.9680, 0.7503, 0.3116], [0.0320, 0.2497, 0.6884], [0.4680, 0.7497, 0.6884], [0.5320, 0.2497, 0.8116], [0.9680, 0.7497, 0.8116], [0.7321, 0.2453, 0.0684], [0.7679, 0.7453, 0.0684], [0.2321, 0.2453, 0.4316], [0.2679, 0.7453, 0.4316], [0.7321, 0.2547, 0.5684], [0.7679, 0.7547, 0.5684], [0.2321, 0.2547, 0.9316], [0.2679, 0.7547, 0.9316], [0.5012, 0.0005, 0.2488], [0.9988, 0.5005, 0.2488], [0.0012, 0.0005, 0.2512], [0.4988, 0.5005, 0.2512], [0.5012, 0.4995, 0.7488], [0.9988, 0.9995, 0.7488], [0.0012, 0.4995, 0.7512], [0.4988, 0.9995, 0.7512]]}

---

Winner for stability: *ii*

---

*i*
{"formula": "CdAgSeO", "functional": "GGA-PBE", "state": "optimized geometry", "space_group": "P2_12_12_1", "cell": [[6.1049, 0.0000, 0.0000], [0.0000, 7.9205, 0.0000], [0.0000, 0.0000, 6.2531]], "species": ["Ag", "Ag", "Ag", "Ag", "Cd", "Cd", "Cd", "Cd", "O", "O", "O", "O", "Se", "Se", "Se", "Se"], "frac_coords": [[0.2122, 0.7268, 0.0140], [0.7878, 0.2268, 0.4860], [0.2878, 0.2732, 0.5140], [0.7122, 0.7732, 0.9860], [0.2440, 0.1639, 0.0189], [0.7560, 0.6639, 0.4811], [0.2560, 0.8361, 0.5189], [0.7440, 0.3361, 0.9811], [0.5193, 0.2385, 0.2401], [0.4807, 0.7385, 0.2599], [0.9807, 0.7615, 0.7401], [0.0193, 0.2615, 0.7599], [0.9638, 0.9628, 0.2344], [0.0362, 0.4628, 0.2656], [0.5362, 0.0372, 0.7344], [0.4638, 0.5372, 0.7656]]}

---

*ii*
{"formula": "CdAgSeO", "functional": "GGA-PBE", "state": "optimized geometry", "space_group": "Pca2_1", "cell": [[6.2199, 0.0000, 0.0000], [0.0000, 8.1482, 0.0000], [0.0000, 0.0000, 5.8711]], "species": ["Ag", "Ag", "Ag", "Ag", "Cd", "Cd", "Cd", "Cd", "O", "O", "O", "O", "Se", "Se", "Se", "Se"], "frac_coords": [[0.2494, 0.0804, 0.3790], [0.7494, 0.9196, 0.3790], [0.2506, 0.0804, 0.8790], [0.7506, 0.9196, 0.8790], [0.9097, 0.3401, 0.1160], [0.4097, 0.6599, 0.1160], [0.5903, 0.3401, 0.6160], [0.0903, 0.6599, 0.6160], [0.9898, 0.0770, 0.1290], [0.4898, 0.9230, 0.1290], [0.5102, 0.0770, 0.6290], [0.0102, 0.9230, 0.6290], [0.4710, 0.3371, 0.1260], [0.9710, 0.6629, 0.1260], [0.0290, 0.3371, 0.6260], [0.5290, 0.6629, 0.6260]]}

---

Winner for stability: *ii*